# 1
DFT (GGA-PBE) results for an optimized crystal structure of Pu3Tl2Sn.

Lattice parameters (Å, degrees): 4.1265 4.1265 9.5641 90.00 90.00 90.00
Each line ends with the local moment (μB).
Element x y z (fractional)
Pu (0.0000, 0.0000, 0.0000)  5.60
Pu (0.0000, 0.0000, 0.3442)  5.51
Pu (0.0000, 0.0000, 0.6558)  5.51
Tl (0.5000, 0.5000, 0.1716)  0.01
Tl (0.5000, 0.5000, 0.8284)  0.01
Sn (0.5000, 0.5000, 0.5000)  -0.10

formation energy from the elements: -0.102 eV/atom


# 2
DFT (GGA-PBE) results for an optimized crystal structure of CrCo2RhW.

Lattice parameters (Å, degrees): 4.1050 4.4253 4.1050 90.00 90.00 90.00
Each line ends with the local moment (μB).
Element x y z (fractional)
Co (0.0000, 0.0000, 0.5000)  0.48
Co (0.5000, 0.0000, 0.0000)  0.54
Rh (0.0000, 0.5000, 0.0000)  0.10
W (0.5000, 0.5000, 0.5000)  0.95
Cr (0.0000, 0.0000, 0.0000)  -0.16

formation energy from the elements: 1.348 eV/atom


# 3
DFT (GGA-PBE) results for an optimized crystal structure of YMgNi4Sn2.

Lattice parameters (Å, degrees): 4.3814 4.3814 8.2568 74.61 74.61 60.00
Element x y z (fractional)
Y (0.0000, 0.0000, 0.0000)
Mg (0.5000, 0.5000, 0.5000)
Ni (0.3938, 0.3938, 0.8186)
Ni (0.8735, 0.8735, 0.3796)
Ni (0.1265, 0.1265, 0.6204)
Ni (0.6062, 0.6062, 0.1814)
Sn (0.7551, 0.7551, 0.7346)
Sn (0.2449, 0.2449, 0.2654)

formation energy from the elements: -0.359 eV/atom


# 4
DFT (GGA-PBE) results for an optimized crystal structure of SbMo2P.

Lattice parameters (Å, degrees): 3.3072 3.3072 6.2351 90.00 90.00 90.00
Element x y z (fractional)
Sb (0.5000, 0.5000, 0.7684)
Mo (0.0000, 0.0000, 0.0086)
Mo (0.5000, 0.5000, 0.3047)
P (0.0000, 0.0000, 0.4183)

energy above the lowest structure with this stoichiometry: 5 meV/atom


# 5
DFT (GGA-PBE) results for an optimized crystal structure of LaPd2Au.

Lattice parameters (Å, degrees): 4.3938 5.4565 7.0152 90.00 90.00 90.00
Element x y z (fractional)
La (0.0000, 0.2500, 0.7104)
La (0.0000, 0.7500, 0.2896)
Pd (0.0000, 0.7500, 0.8652)
Pd (0.0000, 0.2500, 0.1348)
Pd (0.5000, 0.0000, 0.0000)
Pd (0.5000, 0.5000, 0.0000)
Au (0.5000, 0.7500, 0.6206)
Au (0.5000, 0.2500, 0.3794)

formation energy from the elements: -0.751 eV/atom


# 6
DFT (GGA-PBE) results for an optimized crystal structure of Pm6Cd2Tc.

Lattice parameters (Å, degrees): 3.9830 8.8672 8.6908 120.67 90.00 90.00
Element x y z (fractional)
Pm (0.5000, 0.6014, 0.0000)
Pm (0.5000, 0.3921, 0.3974)
Pm (0.5000, 0.9948, 0.6026)
Pm (0.0000, 0.2454, 0.0000)
Pm (0.0000, 0.7607, 0.7670)
Pm (0.0000, 0.9937, 0.2330)
Cd (0.0000, 0.3283, 0.6642)
Cd (0.0000, 0.6642, 0.3358)
Tc (0.5000, 0.0194, 0.0000)

formation energy from the elements: -0.113 eV/atom


For the records above, the corresponding magnetic moment values read 2.92 0.43 0.00 0.00 0.00 0.00 μB per atom.
For the records above, the corresponding final energy values read -52.34 -37.40 -42.06 -31.69 -43.19 -41.72 eV for the cell shown.